This record from the Alexandria database describes a relaxed structure of FeICl2. The functional is PBE.

Structure (CIF):
```
data_FeICl2
_cell_length_a 3.3969
_cell_length_b 3.3969
_cell_length_c 33.7474
_cell_angle_alpha 90.00
_cell_angle_beta 90.00
_cell_angle_gamma 120.00
_space_group_name_H-M_alt 'R -3 m'
_space_group_IT_number 166
_space_group_name_Hall '-R 3 2"'
loop_
_atom_site_label
_atom_site_type_symbol
_atom_site_fract_x
_atom_site_fract_y
_atom_site_fract_z
Fe1 Fe 0.0000 0.0000 0.0000
I1 I 0.0000 0.0000 0.5000
Cl1 Cl 0.0000 0.0000 0.3691
```

## Properties
DOS(E_F)	1.63	states/eV/f.u.
offset from the most stable computed form	113.1	meV/atom
uncorrected formation energy	-0.2421	eV/atom